# Tb2NdSn9

A geometry-optimized Tb2NdSn9 structure (PBE, Alexandria).

Summary:
For the density of states at the Fermi level, the calculation gives 0.664 states/eV/atom. The total magnetization comes out at 0.0000 μB per atom. The value obtained for the total energy is -4.628 eV per atom. The calculation puts the formation energy from the elements at -0.457 eV/atom. Its symmetry is P4/mmm.

POSCAR file:
```
Tb2NdSn9
1.0
4.715 0.000 0.000
0.000 4.715 0.000
0.000 0.000 14.378
Tb Nd Sn
2 1 9
direct
0.000 0.000 0.166
0.000 0.000 0.834
0.000 0.000 0.500
0.000 0.500 0.000
0.000 0.500 0.330
0.000 0.500 0.670
0.500 0.000 0.000
0.500 0.000 0.330
0.500 0.000 0.670
0.500 0.500 0.165
0.500 0.500 0.500
0.500 0.500 0.835
```

---

# Tb3Nd2Sn4

A geometry-optimized Tb3Nd2Sn4 structure (PBE, Alexandria).

Summary:
For the density of states at the Fermi level, the calculation gives 0.547 states/eV/atom. The total magnetization comes out at 0.0000 μB per atom. The value obtained for the total energy is -5.001 eV per atom. The calculation puts the formation energy from the elements at -0.619 eV/atom. Its symmetry is Cmce.

POSCAR file:
```
Tb3Nd2Sn4
1.0
3.529 -8.601 0.000
3.529 8.601 0.000
0.000 0.000 8.989
Tb Nd Sn
6 4 8
direct
0.000 0.000 0.000
0.044 0.456 0.250
0.456 0.044 0.750
0.500 0.500 0.500
0.544 0.956 0.250
0.956 0.544 0.750
0.111 0.889 0.410
0.389 0.611 0.910
0.611 0.389 0.090
0.889 0.111 0.590
0.186 0.814 0.056
0.220 0.280 0.250
0.280 0.220 0.750
0.314 0.686 0.556
0.686 0.314 0.444
0.720 0.780 0.250
0.780 0.720 0.750
0.814 0.186 0.944
```

---

# Tb3Nd2Sn4

A geometry-optimized Tb3Nd2Sn4 structure (PBE, Alexandria).

Summary:
For the density of states at the Fermi level, the calculation gives 0.802 states/eV/atom. The total magnetization comes out at 0.0000 μB per atom. The value obtained for the total energy is -5.172 eV per atom. The calculation puts the formation energy from the elements at -0.790 eV/atom. Its symmetry is P2_1/c.

POSCAR file:
```
Tb3Nd2Sn4
1.0
8.374 0.000 0.000
0.000 8.374 0.000
-2.815 0.000 7.561
Tb Nd Sn
6 4 8
direct
0.000 0.000 0.000
0.000 0.500 0.500
0.253 0.168 0.759
0.253 0.332 0.259
0.747 0.668 0.741
0.747 0.832 0.241
0.307 0.678 0.937
0.307 0.822 0.437
0.693 0.178 0.563
0.693 0.322 0.063
0.012 0.635 0.136
0.012 0.865 0.636
0.418 0.038 0.159
0.418 0.462 0.659
0.582 0.538 0.341
0.582 0.962 0.841
0.988 0.135 0.364
0.988 0.365 0.864
```

---

# TbNd9Sn2

A geometry-optimized TbNd9Sn2 structure (PBE, Alexandria).

Summary:
For the density of states at the Fermi level, the calculation gives 0.971 states/eV/atom. The total magnetization comes out at 0.0000 μB per atom. The value obtained for the total energy is -4.909 eV per atom. The calculation puts the formation energy from the elements at -0.280 eV/atom. Its symmetry is P4/mmm.

POSCAR file:
```
TbNd9Sn2
1.0
4.986 0.000 0.000
0.000 4.986 0.000
0.000 0.000 15.348
Tb Nd Sn
1 9 2
direct
0.000 0.000 0.000
0.000 0.500 0.176
0.000 0.500 0.500
0.000 0.500 0.824
0.500 0.000 0.176
0.500 0.000 0.500
0.500 0.000 0.824
0.500 0.500 0.000
0.500 0.500 0.339
0.500 0.500 0.661
0.000 0.000 0.338
0.000 0.000 0.662
```

---

# TbNdSn

A geometry-optimized TbNdSn structure (PBE, Alexandria).

Summary:
For the density of states at the Fermi level, the calculation gives 0.790 states/eV/atom. The total magnetization comes out at 0.0000 μB per atom. The value obtained for the total energy is -4.837 eV per atom. The calculation puts the formation energy from the elements at -0.370 eV/atom. Its symmetry is P3m1.

POSCAR file:
```
TbNdSn
1.0
5.165 0.000 0.000
-2.582 4.473 0.000
0.000 0.000 3.956
Tb Nd Sn
1 1 1
direct
0.000 0.000 0.000
0.667 0.333 0.442
0.333 0.667 0.780
```

---

# Tb2NdSn

A geometry-optimized Tb2NdSn structure (PBE, Alexandria).

Summary:
For the density of states at the Fermi level, the calculation gives 1.518 states/eV/atom. The total magnetization comes out at 0.0002 μB per atom. The value obtained for the total energy is -4.531 eV per atom. The calculation puts the formation energy from the elements at -0.023 eV/atom. Its symmetry is R-3m.

POSCAR file:
```
Tb2NdSn
1.0
1.745 1.008 11.955
-1.745 1.008 11.955
0.000 -2.015 11.955
Tb Nd Sn
2 1 1
direct
0.096 0.096 0.096
0.904 0.904 0.904
0.000 0.000 0.000
0.500 0.500 0.500
```